Record 1
VASP calculation (PBE) on an optimized crystal structure of HfSc2Ti2.

Structure (extended XYZ):
```
10
Lattice="-0.5531 -0.5939 -8.0171 0.9487 -7.9848 0.5260 -3.1702 -0.3605 0.2454" Properties=species:S:1:pos:R:3 pbc="T T T"
Sc 0.6215 -7.1845 -2.5244
Sc 0.1133 -5.5315 -6.6615
Sc -0.2259 -1.3941 -4.9667
Sc 0.2823 -3.0471 -0.8296
Hf 0.0000 0.0000 0.0000
Hf 0.1978 -4.2893 -3.7456
Ti -1.0425 -5.6536 -0.9075
Ti -1.1722 -7.1860 -4.8347
Ti -1.7321 -3.2855 -6.3382
Ti -1.6024 -1.7531 -2.4111
```

Calculated values
* relative energy among the computed polymorphs: 0.317 eV/f.u.
* formation enthalpy at 0 K: 24.4 kJ/mol of atoms

---

Record 2
VASP calculation (PBE) on an optimized crystal structure of HfSc2Ti.

Structure (extended XYZ):
```
4
Lattice="1.2689 2.9088 3.8541 -2.7781 0.0000 4.1482 1.7755 -2.0463 4.1934" Properties=species:S:1:pos:R:3 pbc="T T T"
Sc 0.0666 0.2156 3.0489
Sc 0.1998 0.6468 9.1468
Hf 0.1332 0.4312 6.0979
Ti 0.0000 0.0000 0.0000
```

Calculated values
* relative energy among the computed polymorphs: 0.640 eV/f.u.
* formation enthalpy at 0 K: 25.2 kJ/mol of atoms

---

Record 3
VASP calculation (PBE) on an optimized crystal structure of HfSc2Ti.

Structure (extended XYZ):
```
4
Lattice="-0.8684 1.0868 2.8318 -0.1574 -1.9650 2.4635 9.3176 1.6922 3.9655" Properties=species:S:1:pos:R:3 pbc="T T T"
Hf 4.1277 0.4033 4.6263
Sc 6.9837 1.2126 3.4339
Sc 1.9890 0.1863 2.2961
Ti -0.6626 -0.5811 3.5350
```

Calculated values
* relative energy among the computed polymorphs: 0.000 eV/f.u.
* formation enthalpy at 0 K: 9.7 kJ/mol of atoms

---

Record 4
VASP calculation (PBE) on an optimized crystal structure of HfScTi2Tl.

Structure (extended XYZ):
```
5
Lattice="-1.5947 2.6316 4.0450 -3.3562 -3.7806 1.1364 3.5285 -2.2702 2.8681" Properties=species:S:1:pos:R:3 pbc="T T T"
Sc -1.6781 -1.8903 0.5682
Tl 0.0000 0.0000 0.0000
Hf -0.7112 -1.7097 4.0247
Ti 1.7643 -1.1351 1.4340
Ti -0.7974 1.3158 2.0225
```

Calculated values
* formation enthalpy at 0 K: 111.5 kJ/mol of atoms